DFT (PBEsol) results for crystalline ZrMoAu at its relaxed geometry.

a = 4.7698 Å, b = 4.7698 Å, c = 2.6869 Å
α = 90.00°, β = 90.00°, γ = 120.00°
Closest atoms and distances in Å follow each position.
Sites, in units of the cell vectors:
Zr1 0.0000 0.0000 0.0000  2 Zr 2.69
Mo1 0.3333 0.6667 0.5000  2 Mo 2.69, 3 Au 2.75
Au1 0.6667 0.3333 0.5000  2 Au 2.69, 3 Mo 2.75

Computed properties:
Total magnetization: 0.00 Bohr magnetons per cell
Calculated formation energy: 25 kJ/mol of formula units
Crystal system: hexagonal
N(E_F): 3.96 states/eV per cell
SG: No. 187
ΔE to the lowest computed polymorph: 59 meV/atom

***

DFT (PBEsol) results for crystalline ZrMo2Au at its relaxed geometry.

a = 3.5336 Å, b = 4.2716 Å, c = 4.4836 Å
α = 90.00°, β = 90.00°, γ = 90.00°
Closest atoms and distances in Å follow each position.
Sites, in units of the cell vectors:
Zr1 0.0000 0.0000 0.0000  4 Au 2.77, 8 Mo 2.85-3.10
Mo1 0.0000 0.5000 0.5000  4 Mo 2.77, 4 Au 2.85, 4 Zr 3.10
Mo2 0.5000 0.0000 0.5000  4 Mo 2.77, 4 Zr 2.85, 4 Au 3.10
Au1 0.5000 0.5000 0.0000  4 Zr 2.77, 8 Mo 2.85-3.10

Computed properties:
Total magnetization: 0.00 Bohr magnetons per cell
Calculated formation energy: -2 kJ/mol of formula units
Crystal system: orthorhombic
N(E_F): 3.04 states/eV per cell
SG: No. 47
ΔE to the lowest computed polymorph: 0 meV/atom

***

DFT (PBEsol) results for crystalline ZrMoAu at its relaxed geometry.

a = 3.4522 Å, b = 3.4522 Å, c = 8.9748 Å
α = 90.00°, β = 90.00°, γ = 90.00°
Closest atoms and distances in Å follow each position.
Sites, in units of the cell vectors:
Zr1 0.0000 0.0000 0.0000  5 Mo 2.88-2.95, 5 Au 2.90-2.91
Zr2 0.5000 0.5000 0.5000  5 Mo 2.88-2.95, 5 Au 2.90-2.91
Mo1 0.0000 0.0000 0.3289  5 Au 2.80-3.11, 5 Zr 2.88-2.95
Mo2 0.5000 0.5000 0.8289  5 Au 2.80-3.11, 5 Zr 2.88-2.95
Au1 0.0000 0.0000 0.6754  5 Mo 2.80-3.11, 5 Zr 2.90-2.91
Au2 0.5000 0.5000 0.1754  5 Mo 2.80-3.11, 5 Zr 2.90-2.91

Computed properties:
Total magnetization: 0.00 Bohr magnetons per cell
Calculated formation energy: 8 kJ/mol of formula units
Crystal system: tetragonal
N(E_F): 6.05 states/eV per cell
SG: No. 107
ΔE to the lowest computed polymorph: 0 meV/atom

***

DFT (PBEsol) results for crystalline ZrMoAu at its relaxed geometry.

a = 6.2913 Å, b = 6.2913 Å, c = 6.2913 Å
α = 90.00°, β = 90.00°, γ = 90.00°
Closest atoms and distances in Å follow each position.
Sites, in units of the cell vectors:
Zr1 0.0000 0.0000 0.0000  4 Au 2.72
Zr2 0.0000 0.5000 0.5000  4 Au 2.72
Zr3 0.5000 0.0000 0.5000  4 Au 2.72
Zr4 0.5000 0.5000 0.0000  4 Au 2.72
Mo1 0.0000 0.0000 0.5000  4 Au 2.72
Mo2 0.0000 0.5000 0.0000  4 Au 2.72
Mo3 0.5000 0.0000 0.0000  4 Au 2.72
Mo4 0.5000 0.5000 0.5000  4 Au 2.72
Au1 0.2500 0.2500 0.2500  4 Zr 2.72, 4 Mo 2.72
Au2 0.2500 0.7500 0.7500  4 Zr 2.72, 4 Mo 2.72
Au3 0.7500 0.2500 0.7500  4 Zr 2.72, 4 Mo 2.72
Au4 0.7500 0.7500 0.2500  4 Zr 2.72, 4 Mo 2.72

Computed properties:
Total magnetization: 0.13 Bohr magnetons per cell
Calculated formation energy: 168 kJ/mol of formula units
Crystal system: cubic
N(E_F): 21.40 states/eV per cell
SG: No. 216
ΔE to the lowest computed polymorph: 554 meV/atom

***

DFT (PBEsol) results for crystalline NaAu2N at its relaxed geometry.

a = 5.8248 Å, b = 5.8248 Å, c = 11.0114 Å
α = 90.00°, β = 90.00°, γ = 90.00°
Closest atoms and distances in Å follow each position.
Sites, in units of the cell vectors:
Na1 0.0000 0.2500 0.3750  8 Au 3.54
Na2 0.0000 0.7500 0.6250  8 Au 3.54
Na3 0.5000 0.2500 0.1250  8 Au 3.54
Na4 0.5000 0.7500 0.8750  8 Au 3.54
Au1 0.0000 0.0000 0.0000  2 N 2.00
Au2 0.0000 0.5000 0.0000  2 N 2.00
Au3 0.2500 0.2500 0.7500  2 N 2.00
Au4 0.2500 0.7500 0.2500  2 N 2.00
Au5 0.5000 0.0000 0.5000  2 N 2.00
Au6 0.5000 0.5000 0.5000  2 N 2.00
Au7 0.7500 0.2500 0.7500  2 N 2.00
Au8 0.7500 0.7500 0.2500  2 N 2.00
N1 0.0000 0.2500 0.8750  4 Au 2.00
N2 0.0000 0.7500 0.1250  4 Au 2.00
N3 0.5000 0.2500 0.6250  4 Au 2.00
N4 0.5000 0.7500 0.3750  4 Au 2.00

Computed properties:
Total magnetization: 0.00 Bohr magnetons per cell
Crystal system: tetragonal
Formation energy from raw total energies: 1.004 eV/f.u.
SG: No. 141

***

DFT (PBEsol) results for crystalline NaTeAuN2 at its relaxed geometry.

a = 4.1563 Å, b = 4.1563 Å, c = 5.7616 Å
α = 90.00°, β = 90.00°, γ = 90.00°
Closest atoms and distances in Å follow each position.
Sites, in units of the cell vectors:
Na1 0.0000 0.0000 0.0000  4 Te 2.94
Te1 0.5000 0.5000 0.0000  2 Au 2.88, 4 Na 2.94
Au1 0.5000 0.5000 0.5000  4 N 2.08
N1 0.0000 0.5000 0.5000  2 Au 2.08
N2 0.5000 0.0000 0.5000  2 Au 2.08

Computed properties:
Total magnetization: 3.55 Bohr magnetons per cell
Crystal system: tetragonal
Formation energy from raw total energies: 6.543 eV/f.u.
N(E_F): 3.71 states/eV per cell
SG: No. 123

***

DFT (PBEsol) results for crystalline NbAuN2 at its relaxed geometry.

a = 4.9133 Å, b = 4.9133 Å, c = 9.5748 Å
α = 90.00°, β = 90.00°, γ = 90.00°
Closest atoms and distances in Å follow each position.
Sites, in units of the cell vectors:
Nb1 0.0000 0.0000 0.0000  4 N 1.97
Nb2 0.0000 0.5000 0.2500  4 N 1.97
Nb3 0.5000 0.0000 0.7500  4 N 1.97
Nb4 0.5000 0.5000 0.5000  4 N 1.97
Au1 0.0000 0.0000 0.5000  4 N 2.28
Au2 0.0000 0.5000 0.7500  4 N 2.28
Au3 0.5000 0.0000 0.2500  4 N 2.28
Au4 0.5000 0.5000 0.0000  4 N 2.28
N1 0.1958 0.2500 0.1250  2 Nb 1.97
N2 0.2500 0.6958 0.3750  2 Nb 1.97
N3 0.2500 0.8042 0.8750  2 Nb 1.97
N4 0.3042 0.2500 0.6250  2 Nb 1.97
N5 0.6958 0.7500 0.6250  2 Nb 1.97
N6 0.7500 0.1958 0.8750  2 Nb 1.97
N7 0.7500 0.3042 0.3750  2 Nb 1.97
N8 0.8042 0.7500 0.1250  2 Nb 1.97

Computed properties:
Total magnetization: 0.00 Bohr magnetons per cell
Crystal system: tetragonal
Formation energy from raw total energies: -0.465 eV/f.u.
N(E_F): 0.96 states/eV per cell
SG: No. 122

***

DFT (PBEsol) results for crystalline NiAuS2N at its relaxed geometry.

a = 4.6575 Å, b = 4.6575 Å, c = 3.3447 Å
α = 90.00°, β = 90.00°, γ = 90.00°
Closest atoms and distances in Å follow each position.
Sites, in units of the cell vectors:
Ni1 0.0000 0.0000 0.0000  2 N 1.67
Au1 0.5000 0.5000 0.5000  8 S 2.87
S1 0.0000 0.5000 0.0000  2 Ni 2.33
S2 0.5000 0.0000 0.0000  2 Ni 2.33
N1 0.0000 0.0000 0.5000  2 Ni 1.67

Computed properties:
Total magnetization: 0.00 Bohr magnetons per cell
Crystal system: tetragonal
Formation energy from raw total energies: 3.559 eV/f.u.
N(E_F): 4.40 states/eV per cell
SG: No. 123